[1]
Material: CaPuGa2
Method: DFT, PBE
State: optimized geometry

Lattice parameters (Å, degrees): 3.497 3.497 9.767 79.69 79.69 60.00
Sites, in units of the cell vectors:
Ga 0.250 0.250 0.250
Ca 0.500 0.500 0.500
Pu 0.000 0.000 0.000
Ga 0.750 0.750 0.750

Properties
For the formation energy, the calculation gives -0.1212 eV/atom. The calculation puts the total moment at 5.9 μB per formula unit. The value obtained for the energy relative to the lowest polymorph listed for this composition is 0.213 eV/atom.

---

[2]
Material: PaNi2B6
Method: DFT, PBE
State: optimized geometry

Lattice parameters (Å, degrees): 4.007 5.279 5.213 120.42 99.45 90.00
Sites, in units of the cell vectors:
B 0.500 0.329 0.000
B 0.556 0.996 0.344
B 0.444 0.652 0.656
Pa 0.000 0.000 0.000
B 0.556 0.348 0.344
B 0.444 0.004 0.656
Ni 0.198 0.631 0.262
Ni 0.802 0.369 0.738
B 0.500 0.671 0.000

Properties
For the formation energy, the calculation gives -0.1486 eV/atom. The calculation puts the total moment at 0.0 μB per formula unit.

---

[3]
Material: YCuN2O
Method: DFT, PBE
State: optimized geometry

Lattice parameters (Å, degrees): 3.747 3.747 3.926 90.00 90.00 90.00
Sites, in units of the cell vectors:
N 0.500 0.000 0.000
Y 0.500 0.500 0.500
N 0.000 0.500 0.000
O 0.000 0.000 0.500
Cu 0.000 0.000 0.000

Properties
The calculation puts the total moment at 0.0 μB per formula unit. For the raw formation energy, the calculation gives -205 meV/atom.

---

[4]
Material: Mn3SnBr8
Method: DFT, PBE
State: optimized geometry

Lattice parameters (Å, degrees): 8.058 8.057 8.426 119.22 90.00 120.01
Sites, in units of the cell vectors:
Sn 0.000 0.000 0.000
Br 0.715 0.971 0.222
Mn 0.000 0.500 0.000
Br 0.261 0.521 0.787
Br 0.256 0.971 0.222
Mn 0.500 0.500 0.000
Br 0.744 0.489 0.778
Br 0.256 0.511 0.222
Mn 0.500 0.000 0.000
Br 0.285 0.029 0.778
Br 0.739 0.479 0.213
Br 0.744 0.029 0.778

Properties
The calculation puts the total moment at 15.0 μB per formula unit. For the raw formation energy, the calculation gives -761 meV/atom.

---

[5]
Material: AlIr2Rh6
Method: DFT, PBE
State: optimized geometry

Lattice parameters (Å, degrees): 3.749 7.701 7.701 40.61 75.91 75.91
Sites, in units of the cell vectors:
Al 0.086 0.914 0.914
Rh 0.488 0.256 0.769
Rh 0.682 0.576 0.060
Rh 0.302 0.971 0.425
Rh 0.302 0.425 0.971
Rh 0.682 0.060 0.576
Ir 0.083 0.417 0.417
Ir 0.888 0.612 0.612
Rh 0.488 0.769 0.256

Properties
For the formation energy, the calculation gives 0.1159 eV/atom. The calculation puts the total moment at 0.0 μB per formula unit.

---

[6]
Material: ScTl2Ag
Method: DFT, PBE
State: optimized geometry

Lattice parameters (Å, degrees): 4.700 3.283 6.175 81.70 90.00 90.00
Sites, in units of the cell vectors:
Sc 0.500 0.750 0.750
Ag 0.500 0.250 0.250
Tl 0.000 0.097 0.000
Tl 0.000 0.403 0.500

Properties
For the formation energy, the calculation gives -0.0220 eV/atom. The calculation puts the total moment at 0.0 μB per formula unit.